# 1
Below is a PBEsol-optimized structure of ZrRe2Ni, with properties calculated at the SCAN level.

The structure in POSCAR format:
```
ZrRe2Ni
1.0
4.3867 0.0000 0.0000
2.1934 3.7990 0.0000
2.1934 1.2663 3.5817
Zr Re Ni
1 2 1
Direct
0.5000 0.5000 0.5000
0.2500 0.2500 0.2500
0.7500 0.7500 0.7500
0.0000 0.0000 0.0000
```

Output
energy of formation from the pure elements: 379 meV/atom
total magnetization: 0.00 μB/f.u.
density: 14.53 g/cm3
electronic total energy: -46.89 eV/atom

# 2
Below is a PBEsol-optimized structure of NiRh, with properties calculated at the SCAN level.

The structure in POSCAR format:
```
NiRh
1.0
-1.4672 1.2220 1.7727
-2.2179 -3.8104 0.7911
5.9687 -0.1938 3.1591
Ni Rh
3 3
Direct
0.8371 0.5030 0.6742
0.9986 0.9962 0.9972
0.4981 0.5016 0.9961
0.3372 0.0029 0.6744
0.1644 0.4962 0.3287
0.6647 0.0000 0.3294
```

Output
energy of formation from the pure elements: 50 meV/atom
total magnetization: 1.50 μB/f.u.
density: 11.05 g/cm3
electronic total energy: -24.92 eV/atom

# 3
Below is a PBEsol-optimized structure of Ni2Rh3, with properties calculated at the SCAN level.

The structure in POSCAR format:
```
Ni2Rh3
1.0
2.6252 0.0000 0.0000
1.3126 2.2735 0.0000
1.3126 0.7578 10.4153
Ni Rh
2 3
Direct
0.3991 0.3991 0.8026
0.6009 0.6009 0.1974
0.2017 0.2017 0.3948
0.7983 0.7983 0.6052
0.0000 0.0000 0.0000
```

Output
energy of formation from the pure elements: 48 meV/atom
total magnetization: 2.76 μB/f.u.
density: 11.38 g/cm3
electronic total energy: -26.68 eV/atom

# 4
Below is a PBEsol-optimized structure of NiRh, with properties calculated at the SCAN level.

The structure in POSCAR format:
```
NiRh
1.0
-4.1893 -0.1880 0.2184
-0.0618 -2.7504 -3.5525
0.3438 -4.0370 3.1195
Rh Ni
4 4
Direct
0.7500 0.9083 0.3735
0.2500 0.0917 0.6265
0.2500 0.5917 0.8735
0.7500 0.4083 0.1265
0.7500 0.4190 0.6248
0.7500 0.9190 0.8752
0.2500 0.5810 0.3752
0.2500 0.0810 0.1248
```

Output
energy of formation from the pure elements: 43 meV/atom
total magnetization: 1.97 μB/f.u.
density: 11.13 g/cm3
electronic total energy: -24.93 eV/atom

# 5
Below is a PBEsol-optimized structure of NiRh, with properties calculated at the SCAN level.

The structure in POSCAR format:
```
NiRh
1.0
2.6176 0.0000 0.0000
0.0000 2.6176 0.0000
0.0000 0.0000 10.5211
Ni Rh
3 3
Direct
0.0000 0.0000 0.9902
0.5000 0.5000 0.8380
0.5000 0.5000 0.5051
0.0000 0.0000 0.3368
0.5000 0.5000 0.1576
0.0000 0.0000 0.6721
```

Output
energy of formation from the pure elements: 54 meV/atom
total magnetization: 1.46 μB/f.u.
density: 11.17 g/cm3
electronic total energy: -24.92 eV/atom

# 6
Below is a PBEsol-optimized structure of NiRh4, with properties calculated at the SCAN level.

The structure in POSCAR format:
```
NiRh4
1.0
2.6543 0.0000 0.0000
0.0000 3.7083 0.0000
-1.3272 -1.8542 6.5738
Ni Rh
1 4
Direct
0.0000 0.0000 0.0000
0.5965 0.5965 0.1930
0.8015 0.8015 0.6029
0.4035 0.4035 0.8070
0.1985 0.1985 0.3971
```

Output
energy of formation from the pure elements: 32 meV/atom
total magnetization: 1.67 μB/f.u.
density: 12.07 g/cm3
electronic total energy: -30.22 eV/atom

# 7
Below is a PBEsol-optimized structure of Ni3Rh, with properties calculated at the SCAN level.

The structure in POSCAR format:
```
Ni3Rh
1.0
-1.6184 0.6964 -1.8390
-0.9832 -3.3657 -0.4093
-3.6227 0.6410 3.4309
Ni Rh
3 1
Direct
0.0000 0.0000 0.7414
0.5000 0.5000 0.5000
0.0000 0.0000 0.2586
0.5000 0.5000 0.0000
```

Output
energy of formation from the pure elements: 24 meV/atom
total magnetization: 3.30 μB/f.u.
density: 10.24 g/cm3
electronic total energy: -20.55 eV/atom

# 8
Below is a PBEsol-optimized structure of NiRh, with properties calculated at the SCAN level.

The structure in POSCAR format:
```
NiRh
1.0
2.6075 0.0000 0.0000
1.3038 2.2582 0.0000
1.3038 0.7527 4.1381
Ni Rh
1 1
Direct
0.0000 0.0000 0.0000
0.5000 0.5000 0.5000
```

Output
energy of formation from the pure elements: 36 meV/atom
total magnetization: 1.54 μB/f.u.
density: 11.01 g/cm3
electronic total energy: -24.94 eV/atom

# 9
Below is a PBEsol-optimized structure of Ni2Rh, with properties calculated at the SCAN level.

The structure in POSCAR format:
```
Ni2Rh
1.0
-0.6339 1.9426 -1.5849
-2.4428 -0.1108 0.8412
2.2548 6.8093 7.4445
Rh Ni
2 4
Direct
0.0000 0.5000 0.9078
0.5000 0.0000 0.0922
0.0000 0.5000 0.2661
0.5000 0.0000 0.4227
0.5000 0.0000 0.7339
0.0000 0.5000 0.5773
```

Output
energy of formation from the pure elements: 58 meV/atom
total magnetization: 2.13 μB/f.u.
density: 10.58 g/cm3
electronic total energy: -21.98 eV/atom

# 10
Below is a PBEsol-optimized structure of Ni2Rh, with properties calculated at the SCAN level.

The structure in POSCAR format:
```
Ni2Rh
1.0
4.6160 0.0000 0.0000
2.3080 3.9976 0.0000
2.3080 1.3325 3.7689
Ni Rh
4 2
Direct
0.1250 0.6250 0.1250
0.1250 0.1250 0.6250
0.1250 0.1250 0.1250
0.6250 0.1250 0.1250
0.5000 0.5000 0.5000
0.7500 0.7500 0.7500
```

Output
energy of formation from the pure elements: 81 meV/atom
total magnetization: 2.62 μB/f.u.
density: 10.52 g/cm3
electronic total energy: -21.96 eV/atom

# 11
Below is a PBEsol-optimized structure of Ni2Rh, with properties calculated at the SCAN level.

The structure in POSCAR format:
```
Ni2Rh
1.0
4.3786 -0.0027 0.0036
-2.1653 3.8058 0.0036
-0.7661 -1.3163 4.1591
Ni Rh
4 2
Direct
0.9176 0.0824 0.2500
0.7521 0.2479 0.7500
0.0824 0.9176 0.7500
0.2479 0.7521 0.2500
0.4138 0.5862 0.7500
0.5862 0.4138 0.2500
```

Output
energy of formation from the pure elements: 7 meV/atom
total magnetization: 2.55 μB/f.u.
density: 10.55 g/cm3
electronic total energy: -22.03 eV/atom

# 12
Below is a PBEsol-optimized structure of Ni3Rh, with properties calculated at the SCAN level.

The structure in POSCAR format:
```
Ni3Rh
1.0
2.5417 0.0000 0.0000
0.0000 4.3436 0.0042
0.0000 -1.4243 4.1034
Ni Rh
3 1
Direct
0.5000 0.5000 0.0000
0.5000 0.0000 0.5000
0.0000 0.0000 0.0000
0.0000 0.5000 0.5000
```

Output
energy of formation from the pure elements: 19 meV/atom
total magnetization: 2.93 μB/f.u.
density: 10.22 g/cm3
electronic total energy: -20.55 eV/atom